# 1
Entry from Alexandria: a relaxed structure of Al6Au (PBE).

## Properties
Its space group is Im-3m. The formation energy comes out at 881.5 meV/atom. Its density of states at the Fermi level is 5.941 states/eV/f.u. As for the volume: 194.8 Å³ per cell. As for the crystal system: cubic. For the energy, the calculation gives -19.56 eV per cell.

a b c (Å): 6.3257 6.3257 6.3257
angles (deg): 109.47 109.47 109.47
With the nearest neighbours (Å) after each atom.
Atoms (fractional coordinates):
1 Al 0.7500 0.5000 0.2500  4 Al 2.58
2 Al 0.5000 0.7500 0.2500  4 Al 2.58
3 Al 0.5000 0.2500 0.7500  4 Al 2.58
4 Al 0.2500 0.5000 0.7500  4 Al 2.58
5 Al 0.2500 0.7500 0.5000  4 Al 2.58
6 Al 0.7500 0.2500 0.5000  4 Al 2.58
7 Au 0.0000 0.0000 0.0000  24 Al 4.08

# 2
Entry from Alexandria: a relaxed structure of Al5Au (PBE).

## Properties
Its space group is P-62m. The formation energy comes out at -31.2 meV/atom. Its density of states at the Fermi level is 2.678 states/eV/f.u. As for the volume: 102.5 Å³ per cell. As for the crystal system: hexagonal. For the energy, the calculation gives -22.18 eV per cell.

a b c (Å): 4.8561 4.8561 5.0176
angles (deg): 90.00 90.00 120.00
With the nearest neighbours (Å) after each atom.
Atoms (fractional coordinates):
1 Al 0.3327 0.3327 0.0000  10 Al 2.80-2.99, 2 Au 2.98
2 Al 0.6667 0.3333 0.5000  9 Al 2.80-2.99, 3 Au 2.80
3 Al 0.6673 0.0000 0.0000  10 Al 2.80-2.99, 2 Au 2.98
4 Al 0.3333 0.6667 0.5000  9 Al 2.80-2.99, 3 Au 2.80
5 Al 0.0000 0.6673 0.0000  10 Al 2.80-2.99, 2 Au 2.98
6 Au 0.0000 0.0000 0.5000  12 Al 2.80-2.98

# 3
Entry from Alexandria: a relaxed structure of Al3BAu (PBE).

## Properties
Its space group is Pm-3m. The formation energy comes out at 1058.0 meV/atom. Its density of states at the Fermi level is 3.275 states/eV/f.u. As for the volume: 110.6 Å³ per cell. As for the offset from the most stable computed form: 0.950 eV per atom. As for the crystal system: cubic. For the energy, the calculation gives -15.89 eV per cell.

a b c (Å): 4.8000 4.8000 4.8000
angles (deg): 90.00 90.00 90.00
With the nearest neighbours (Å) after each atom.
Atoms (fractional coordinates):
1 Au 0.0000 0.0000 0.0000  6 Al 2.40
2 Al 0.0000 0.0000 0.5000  2 Au 2.40
3 Al 0.0000 0.5000 0.0000  2 Au 2.40
4 Al 0.5000 0.0000 0.0000  2 Au 2.40
5 B 0.5000 0.5000 0.5000  12 Al 3.39

# 4
Entry from Alexandria: a relaxed structure of AlBAu2 (PBE).

## Properties
Its space group is Fm-3m. The formation energy comes out at 589.8 meV/atom. Its density of states at the Fermi level is 1.809 states/eV/f.u. As for the volume: 59.6 Å³ per cell. As for the offset from the most stable computed form: 0.264 eV per atom. As for the crystal system: cubic. For the energy, the calculation gives -14.62 eV per cell.

a b c (Å): 4.3840 4.3840 4.3840
angles (deg): 60.00 60.00 60.00
With the nearest neighbours (Å) after each atom.
Atoms (fractional coordinates):
1 Au 0.2500 0.2500 0.2500  4 Al 2.68, 4 B 2.68
2 Au 0.7500 0.7500 0.7500  4 Al 2.68, 4 B 2.68
3 Al 0.5000 0.5000 0.5000  8 Au 2.68
4 B 0.0000 0.0000 0.0000  8 Au 2.68

# 5
Entry from Alexandria: a relaxed structure of AlBAu3 (PBE).

## Properties
Its space group is Pm-3m. The formation energy comes out at 303.6 meV/atom. Its density of states at the Fermi level is 2.072 states/eV/f.u. As for the volume: 86.4 Å³ per cell. As for the offset from the most stable computed form: 0.000 eV per atom. As for the crystal system: cubic. For the energy, the calculation gives -18.73 eV per cell.

a b c (Å): 4.4217 4.4217 4.4217
angles (deg): 90.00 90.00 90.00
With the nearest neighbours (Å) after each atom.
Atoms (fractional coordinates):
1 B 0.0000 0.0000 0.0000  6 Au 2.21
2 Au 0.5000 0.0000 0.0000  2 B 2.21
3 Au 0.0000 0.0000 0.5000  2 B 2.21
4 Au 0.0000 0.5000 0.0000  2 B 2.21
5 Al 0.5000 0.5000 0.5000  12 Au 3.13

# 6
Entry from Alexandria: a relaxed structure of AlBAu3 (PBE).

## Properties
Its space group is Pm-3m. The formation energy comes out at 1155.3 meV/atom. Its density of states at the Fermi level is 2.149 states/eV/f.u. As for the volume: 113.5 Å³ per cell. As for the offset from the most stable computed form: 0.852 eV per atom. As for the crystal system: cubic. For the energy, the calculation gives -14.48 eV per cell.

a b c (Å): 4.8423 4.8423 4.8423
angles (deg): 90.00 90.00 90.00
With the nearest neighbours (Å) after each atom.
Atoms (fractional coordinates):
1 B 0.5000 0.5000 0.5000  12 Au 3.42
2 Au 0.0000 0.5000 0.0000  2 Al 2.42
3 Au 0.5000 0.0000 0.0000  2 Al 2.42
4 Au 0.0000 0.0000 0.5000  2 Al 2.42
5 Al 0.0000 0.0000 0.0000  6 Au 2.42

# 7
Entry from Alexandria: a relaxed structure of Al3BAu (PBE).

## Properties
Its space group is Pm-3m. The formation energy comes out at 108.5 meV/atom. Its density of states at the Fermi level is 1.981 states/eV/f.u. As for the volume: 74.1 Å³ per cell. As for the offset from the most stable computed form: 0.000 eV per atom. As for the crystal system: cubic. For the energy, the calculation gives -20.64 eV per cell.

a b c (Å): 4.1997 4.1997 4.1997
angles (deg): 90.00 90.00 90.00
With the nearest neighbours (Å) after each atom.
Atoms (fractional coordinates):
1 Al 0.0000 0.5000 0.0000  2 B 2.10
2 Al 0.5000 0.0000 0.0000  2 B 2.10
3 Al 0.0000 0.0000 0.5000  2 B 2.10
4 Au 0.5000 0.5000 0.5000  12 Al 2.97
5 B 0.0000 0.0000 0.0000  6 Al 2.10

# 8
Entry from Alexandria: a relaxed structure of AlB2Au (PBE).

## Properties
Its space group is I-42d. The formation energy comes out at 865.5 meV/atom. Its density of states at the Fermi level is 1.650 states/eV/f.u. As for the volume: 123.8 Å³ per cell. As for the crystal system: tetragonal. For the energy, the calculation gives -33.83 eV per cell.

a b c (Å): 4.9349 4.9349 6.1667
angles (deg): 66.41 66.41 90.00
With the nearest neighbours (Å) after each atom.
Atoms (fractional coordinates):
1 B 0.3750 0.3608 0.7500  2 Au 2.12, 2 Al 2.20
2 B 0.8750 0.8892 0.7500  2 Au 2.12, 2 Al 2.20
3 B 0.1108 0.6250 0.2500  2 Au 2.12, 2 Al 2.20
4 B 0.6392 0.1250 0.2500  2 Au 2.12, 2 Al 2.20
5 Al 0.2500 0.7500 0.5000  4 B 2.20
6 Al 0.5000 0.5000 0.0000  4 B 2.20
7 Au 0.0000 0.0000 0.0000  4 B 2.12
8 Au 0.7500 0.2500 0.5000  4 B 2.12

# 9
Entry from Alexandria: a relaxed structure of AlBAu2 (PBE).

## Properties
Its space group is I-42d. The formation energy comes out at 325.7 meV/atom. Its density of states at the Fermi level is 1.527 states/eV/f.u. As for the volume: 152.6 Å³ per cell. As for the offset from the most stable computed form: 0.000 eV per atom. As for the crystal system: tetragonal. For the energy, the calculation gives -31.34 eV per cell.

a b c (Å): 5.0433 5.0433 6.9781
angles (deg): 68.82 68.82 90.00
With the nearest neighbours (Å) after each atom.
Atoms (fractional coordinates):
1 Au 0.3750 0.4484 0.7500  2 B 2.15
2 Au 0.8750 0.8016 0.7500  2 B 2.15
3 Au 0.1984 0.6250 0.2500  2 B 2.15
4 Au 0.5516 0.1250 0.2500  2 B 2.15
5 B 0.5000 0.5000 0.0000  4 Au 2.15
6 B 0.2500 0.7500 0.5000  4 Au 2.15
7 Al 0.7500 0.2500 0.5000  4 Au 2.55
8 Al 0.0000 0.0000 0.0000  4 Au 2.55

# 10
Entry from Alexandria: a relaxed structure of AlBAu2C (PBE).

## Properties
Its space group is P4/mmm. The formation energy comes out at 418.6 meV/atom. Its density of states at the Fermi level is 1.749 states/eV/f.u. As for the volume: 72.7 Å³ per cell. As for the crystal system: tetragonal. For the energy, the calculation gives -24.11 eV per cell.

a b c (Å): 5.0417 2.8600 5.0417
angles (deg): 90.00 90.00 90.00
With the nearest neighbours (Å) after each atom.
Atoms (fractional coordinates):
1 C 0.0000 0.0000 0.0000  2 B 1.43
2 B 0.0000 0.5000 0.0000  2 C 1.43
3 Au 0.5000 0.0000 0.0000  2 C 2.52
4 Au 0.0000 0.0000 0.5000  2 C 2.52
5 Al 0.5000 0.5000 0.5000  2 Al 2.86, 8 Au 2.90

# 11
Entry from Alexandria: a relaxed structure of Ca2AlBAu (PBE).

## Properties
Its space group is P4/mmm. The formation energy comes out at 163.1 meV/atom. Its density of states at the Fermi level is 4.043 states/eV/f.u. As for the volume: 133.2 Å³ per cell. As for the crystal system: tetragonal. For the energy, the calculation gives -16.89 eV per cell.

a b c (Å): 5.7056 4.0930 5.7056
angles (deg): 90.00 90.00 90.00
With the nearest neighbours (Å) after each atom.
Atoms (fractional coordinates):
1 B 0.0000 0.5000 0.0000  2 Au 2.05
2 Au 0.0000 0.0000 0.0000  2 B 2.05
3 Al 0.5000 0.5000 0.5000  8 Ca 3.51
4 Ca 0.0000 0.0000 0.5000  2 Au 2.85
5 Ca 0.5000 0.0000 0.0000  2 Au 2.85

# 12
Entry from Alexandria: a relaxed structure of AlFeBAu2 (PBE).

## Properties
Its space group is P4/mmm. The formation energy comes out at 1051.7 meV/atom. Its density of states at the Fermi level is 3.893 states/eV/f.u. As for the volume: 93.6 Å³ per cell. As for the crystal system: tetragonal. For the energy, the calculation gives -20.18 eV per cell.

a b c (Å): 4.8704 3.9442 4.8704
angles (deg): 90.00 90.00 90.00
With the nearest neighbours (Å) after each atom.
Atoms (fractional coordinates):
1 Au 0.0000 0.0000 0.5000  2 Al 2.44
2 Au 0.5000 0.0000 0.0000  2 Al 2.44
3 Fe 0.5000 0.5000 0.5000  8 Au 3.13, 4 B 3.44
4 B 0.0000 0.5000 0.0000  2 Al 1.97
5 Al 0.0000 0.0000 0.0000  2 B 1.97

# 13
Entry from Alexandria: a relaxed structure of AlBHAu2 (PBE).

## Properties
Its space group is P4/mmm. Its density of states at the Fermi level is 1.327 states/eV/f.u. As for the volume: 79.2 Å³ per cell. As for the crystal system: tetragonal. For the energy, the calculation gives -17.40 eV per cell.

a b c (Å): 4.4033 4.0846 4.4033
angles (deg): 90.00 90.00 90.00
With the nearest neighbours (Å) after each atom.
Atoms (fractional coordinates):
1 H 0.5000 0.5000 0.5000  8 Au 3.00, 4 Al 3.11
2 Au 0.0000 0.0000 0.5000  2 B 2.20
3 Au 0.5000 0.0000 0.0000  2 B 2.20
4 B 0.0000 0.0000 0.0000  2 Al 2.04, 4 Au 2.20
5 Al 0.0000 0.5000 0.0000  2 B 2.04

# 14
Entry from Alexandria: a relaxed structure of HfAl2BAu (PBE).

## Properties
Its space group is P4/mmm. The formation energy comes out at -183.2 meV/atom. Its density of states at the Fermi level is 1.902 states/eV/f.u. As for the volume: 80.4 Å³ per cell. As for the crystal system: tetragonal. For the energy, the calculation gives -28.31 eV per cell.

a b c (Å): 4.1953 4.5673 4.1953
angles (deg): 90.00 90.00 90.00
With the nearest neighbours (Å) after each atom.
Atoms (fractional coordinates):
1 Al 0.0000 0.0000 0.5000  2 B 2.10
2 Al 0.5000 0.0000 0.0000  2 B 2.10
3 Au 0.5000 0.5000 0.5000  4 Hf 2.97, 8 Al 3.10
4 Hf 0.0000 0.5000 0.0000  2 B 2.28
5 B 0.0000 0.0000 0.0000  4 Al 2.10, 2 Hf 2.28

# 15
Entry from Alexandria: a relaxed structure of LiAl2BAu (PBE).

## Properties
Its space group is P4/mmm. The formation energy comes out at 170.4 meV/atom. Its density of states at the Fermi level is 1.985 states/eV/f.u. As for the volume: 78.5 Å³ per cell. As for the crystal system: tetragonal. For the energy, the calculation gives -18.50 eV per cell.

a b c (Å): 4.1586 4.5371 4.1586
angles (deg): 90.00 90.00 90.00
With the nearest neighbours (Å) after each atom.
Atoms (fractional coordinates):
1 Al 0.0000 0.0000 0.5000  2 B 2.08
2 Al 0.5000 0.0000 0.0000  2 B 2.08
3 B 0.0000 0.0000 0.0000  4 Al 2.08, 2 Au 2.27
4 Li 0.5000 0.5000 0.5000  4 Au 2.94, 8 Al 3.08
5 Au 0.0000 0.5000 0.0000  2 B 2.27

# 16
Entry from Alexandria: a relaxed structure of MgAl2BAu (PBE).

## Properties
Its space group is P4/mmm. The formation energy comes out at 14.8 meV/atom. Its density of states at the Fermi level is 1.900 states/eV/f.u. As for the volume: 78.9 Å³ per cell. As for the crystal system: tetragonal. For the energy, the calculation gives -18.96 eV per cell.

a b c (Å): 4.1358 4.6152 4.1358
angles (deg): 90.00 90.00 90.00
With the nearest neighbours (Å) after each atom.
Atoms (fractional coordinates):
1 Mg 0.0000 0.5000 0.0000  2 B 2.31
2 Au 0.5000 0.5000 0.5000  4 Mg 2.92, 8 Al 3.10
3 Al 0.0000 0.0000 0.5000  2 B 2.07
4 Al 0.5000 0.0000 0.0000  2 B 2.07
5 B 0.0000 0.0000 0.0000  4 Al 2.07, 2 Mg 2.31

# 17
Entry from Alexandria: a relaxed structure of AlBPAu2 (PBE).

## Properties
Its space group is P4/mmm. The formation energy comes out at 518.6 meV/atom. Its density of states at the Fermi level is 3.060 states/eV/f.u. As for the volume: 82.3 Å³ per cell. As for the crystal system: tetragonal. For the energy, the calculation gives -19.79 eV per cell.

a b c (Å): 4.4992 4.0635 4.4992
angles (deg): 90.00 90.00 90.00
With the nearest neighbours (Å) after each atom.
Atoms (fractional coordinates):
1 B 0.0000 0.0000 0.0000  2 Al 2.03, 4 Au 2.25
2 Au 0.0000 0.0000 0.5000  2 B 2.25
3 Au 0.5000 0.0000 0.0000  2 B 2.25
4 P 0.5000 0.5000 0.5000  8 Au 3.03, 4 Al 3.18
5 Al 0.0000 0.5000 0.0000  2 B 2.03

# 18
Entry from Alexandria: a relaxed structure of Al2BPAu (PBE).

## Properties
Its space group is P4/mmm. The formation energy comes out at 608.7 meV/atom. Its density of states at the Fermi level is 3.265 states/eV/f.u. As for the volume: 85.9 Å³ per cell. As for the crystal system: tetragonal. For the energy, the calculation gives -19.81 eV per cell.

a b c (Å): 4.7962 3.7326 4.7962
angles (deg): 90.00 90.00 90.00
With the nearest neighbours (Å) after each atom.
Atoms (fractional coordinates):
1 B 0.0000 0.5000 0.0000  2 P 1.87
2 Al 0.5000 0.0000 0.0000  2 P 2.40
3 Al 0.0000 0.0000 0.5000  2 P 2.40
4 P 0.0000 0.0000 0.0000  2 B 1.87
5 Au 0.5000 0.5000 0.5000  8 Al 3.04, 4 B 3.39

# 19
Entry from Alexandria: a relaxed structure of Al2BSbAu (PBE).

## Properties
Its space group is P4/mmm. The formation energy (no corrections) is 2.68 eV per formula unit. Its density of states at the Fermi level is 2.464 states/eV/f.u. As for the volume: 104.1 Å³ per cell. As for the crystal system: tetragonal. For the energy, the calculation gives -18.88 eV per cell.

a b c (Å): 5.0732 4.0460 5.0732
angles (deg): 90.00 90.00 90.00
With the nearest neighbours (Å) after each atom.
Atoms (fractional coordinates):
1 Au 0.0000 0.0000 0.0000  2 B 2.02
2 Sb 0.5000 0.5000 0.5000  8 Al 3.24, 4 B 3.59
3 Al 0.5000 0.0000 0.0000  2 Au 2.54
4 Al 0.0000 0.0000 0.5000  2 Au 2.54
5 B 0.0000 0.5000 0.0000  2 Au 2.02

# 20
Entry from Alexandria: a relaxed structure of Ba2Al2Au (PBE).

## Properties
Its space group is I4/mmm. The formation energy comes out at -108.1 meV/atom. Its density of states at the Fermi level is 3.749 states/eV/f.u. As for the volume: 168.8 Å³ per cell. As for the offset from the most stable computed form: 0.251 eV per atom. As for the crystal system: tetragonal. For the energy, the calculation gives -15.15 eV per cell.

a b c (Å): 6.7024 6.7024 6.0486
angles (deg): 56.36 56.36 90.00
With the nearest neighbours (Å) after each atom.
Atoms (fractional coordinates):
1 Ba 0.7500 0.2500 0.5000  4 Al 3.41, 2 Ba 3.76
2 Ba 0.2500 0.7500 0.5000  4 Al 3.41, 2 Ba 3.76
3 Al 0.3373 0.3373 0.3254  1 Al 2.45, 1 Au 2.54
4 Al 0.6627 0.6627 0.6746  1 Al 2.45, 1 Au 2.54
5 Au 0.0000 0.0000 0.0000  2 Al 2.54